(1)
# Zr3Si4Pt PBE relaxed
# electronic total energy: -7.37 eV/atom
data_Zr3Si4Pt
_chemical_formula_sum 'Zr3 Si4 Pt1'
_cell_length_a 5.170
_cell_length_b 3.797
_cell_length_c 7.098
_cell_angle_alpha 90.00
_cell_angle_beta 91.83
_cell_angle_gamma 90.00
_space_group_name_H-M_alt 'P 1 m 1'
_space_group_IT_number 6
loop_
_space_group_symop_operation_xyz
'x,y,z'
'x,-y,z'
loop_
_atom_site_label
_atom_site_fract_x
_atom_site_fract_y
_atom_site_fract_z
_atom_site_occupancy
Zr1 0.000 0.000 0.000 1
Zr2 0.221 0.000 0.501 1
Zr3 0.484 0.500 0.874 1
Si1 0.229 0.500 0.231 1
Si2 0.515 0.000 0.155 1
Si3 0.725 0.000 0.623 1
Si4 0.998 0.500 0.723 1
Pt1 0.758 0.500 0.291 1

=====

(2)
# LaPr2Si4Ni2Ir2 PBE relaxed
# electronic total energy: -6.80 eV/atom
data_LaPr2Si4Ni2Ir2
_chemical_formula_sum 'La2 Pr4 Si8 Ni4 Ir4'
_cell_length_a 4.132
_cell_length_b 4.155
_cell_length_c 24.075
_cell_angle_alpha 90.00
_cell_angle_beta 90.00
_cell_angle_gamma 90.00
_space_group_name_H-M_alt 'I m m m'
_space_group_IT_number 71
_space_group_name_Hall '-I 2 2'
loop_
_atom_site_label
_atom_site_fract_x
_atom_site_fract_y
_atom_site_fract_z
_atom_site_occupancy
La1 0.000 0.000 0.000 1
Pr1 0.000 0.500 0.355 1
Si1 0.000 0.000 0.449 1
Si2 0.000 0.500 0.196 1
Ni1 0.000 0.500 0.098 1
Ir1 0.000 0.000 0.249 1

=====

(3)
# K3TmP2O8 PBE relaxed
# electronic total energy: -6.74 eV/atom
data_K3TmP2O8
_chemical_formula_sum 'K6 Tm2 P4 O16'
_cell_length_a 7.316
_cell_length_b 5.576
_cell_length_c 9.267
_cell_angle_alpha 90.00
_cell_angle_beta 90.76
_cell_angle_gamma 90.00
_space_group_name_H-M_alt 'P 1 21/m 1'
_space_group_IT_number 11
loop_
_space_group_symop_operation_xyz
'x,y,z'
'-x,-y,-z'
'-x,y+1/2,-z'
'x,-y+1/2,z'
loop_
_atom_site_label
_atom_site_fract_x
_atom_site_fract_y
_atom_site_fract_z
_atom_site_occupancy
K1 0.003 0.250 0.192 1
K2 0.135 0.750 0.413 1
K3 0.295 0.250 0.919 1
Tm1 0.492 0.750 0.712 1
P1 0.273 0.750 0.091 1
P2 0.315 0.250 0.572 1
O1 0.064 0.750 0.103 1
O2 0.211 0.250 0.424 1
O3 0.264 0.023 0.662 1
O4 0.332 0.750 0.930 1
O5 0.352 0.524 0.167 1
O6 0.480 0.750 0.464 1

=====

(4)
# DySi2AgIr PBE relaxed
# electronic total energy: -6.03 eV/atom
data_DySi2AgIr
_chemical_formula_sum 'Dy2 Si4 Ag2 Ir2'
_cell_length_a 4.148
_cell_length_b 4.148
_cell_length_c 10.105
_cell_angle_alpha 90.00
_cell_angle_beta 90.00
_cell_angle_gamma 90.00
_space_group_name_H-M_alt 'I -4 m 2'
_space_group_IT_number 119
_space_group_name_Hall 'I -4 -2'
loop_
_atom_site_label
_atom_site_fract_x
_atom_site_fract_y
_atom_site_fract_z
_atom_site_occupancy
Dy1 0.000 0.000 0.000 1
Si1 0.000 0.000 0.385 1
Ag1 0.000 0.500 0.750 1
Ir1 0.000 0.500 0.250 1

=====

(5)
# MgInNiIr PBE relaxed
# electronic total energy: -4.72 eV/atom
data_MgInNiIr
_chemical_formula_sum 'Mg4 In4 Ni4 Ir4'
_cell_length_a 6.293
_cell_length_b 6.293
_cell_length_c 6.293
_cell_angle_alpha 90.00
_cell_angle_beta 90.00
_cell_angle_gamma 90.00
_space_group_name_H-M_alt 'F -4 3 m'
_space_group_IT_number 216
_space_group_name_Hall 'F -4 2 3'
loop_
_atom_site_label
_atom_site_fract_x
_atom_site_fract_y
_atom_site_fract_z
_atom_site_occupancy
Mg1 0.000 0.000 0.000 1
In1 0.250 0.250 0.250 1
Ni1 0.000 0.000 0.500 1
Ir1 0.250 0.250 0.750 1

=====

(6)
# YZr2B PBE relaxed
# electronic total energy: -6.94 eV/atom
data_YZr2B
_chemical_formula_sum 'Y4 Zr8 B4'
_cell_length_a 6.797
_cell_length_b 6.797
_cell_length_c 6.797
_cell_angle_alpha 90.00
_cell_angle_beta 90.00
_cell_angle_gamma 90.00
_space_group_name_H-M_alt 'F -4 3 m'
_space_group_IT_number 216
_space_group_name_Hall 'F -4 2 3'
loop_
_atom_site_label
_atom_site_fract_x
_atom_site_fract_y
_atom_site_fract_z
_atom_site_occupancy
Y1 0.000 0.000 0.000 1
Zr1 0.000 0.000 0.500 1
Zr2 0.250 0.250 0.250 1
B1 0.250 0.250 0.750 1

=====

(7)
# CuTcBiW PBE relaxed
# offset from the most stable computed form: 0.00 kcal/mol of atoms
# electronic total energy: -7.06 eV/atom
data_CuTcBiW
_chemical_formula_sum 'Cu4 Tc4 Bi4 W4'
_cell_length_a 6.487
_cell_length_b 6.487
_cell_length_c 6.487
_cell_angle_alpha 90.00
_cell_angle_beta 90.00
_cell_angle_gamma 90.00
_space_group_name_H-M_alt 'F -4 3 m'
_space_group_IT_number 216
_space_group_name_Hall 'F -4 2 3'
loop_
_atom_site_label
_atom_site_fract_x
_atom_site_fract_y
_atom_site_fract_z
_atom_site_occupancy
Cu1 0.000 0.000 0.000 1
Tc1 0.000 0.000 0.500 1
Bi1 0.250 0.250 0.750 1
W1 0.250 0.250 0.250 1

=====

(8)
# BaTmCu2Sb2 PBE relaxed
# electronic total energy: -4.34 eV/atom
data_BaTmCu2Sb2
_chemical_formula_sum 'Ba1 Tm1 Cu2 Sb2'
_cell_length_a 4.5540
_cell_length_b 4.5540
_cell_length_c 8.3931
_cell_angle_alpha 90.00
_cell_angle_beta 90.00
_cell_angle_gamma 120.00
_space_group_name_H-M_alt 'P 3 m 1'
_space_group_IT_number 156
loop_
_space_group_symop_operation_xyz
'x,y,z'
'-y,x-y,z'
'-x+y,-x,z'
'-y,-x,z'
'-x+y,y,z'
'x,x-y,z'
loop_
_atom_site_label
_atom_site_fract_x
_atom_site_fract_y
_atom_site_fract_z
_atom_site_occupancy
Ba1 0.0000 0.0000 0.0000 1
Tm1 0.0000 0.0000 0.5000 1
Cu1 0.3333 0.6667 0.3377 1
Cu2 0.6667 0.3333 0.6610 1
Sb1 0.3333 0.6667 0.7184 1
Sb2 0.6667 0.3333 0.2823 1